# 1
VASP calculation (GGA-PBE) on crystalline Sr2BTeRu at its relaxed geometry.

Cell and atoms, written as POSCAR:
```
Sr2BTeRu
1.0
6.139 0.000 0.000
0.000 4.823 0.000
0.000 0.000 6.139
B Sr Ru Te
1 2 1 1
direct
0.500 0.500 0.500
0.000 0.000 0.500
0.500 0.000 0.000
0.000 0.500 0.000
0.000 0.000 0.000
```

Values from the calculation:
Formation energy (no corrections) = 0.932 eV/atom
Offset from the most stable computed form = 1235.6 meV/atom
Final energy = -3.559 eV/atom
Total magnetic moment = 0.01 μB/f.u.

***

# 2
VASP calculation (GGA-PBE) on crystalline SrBTeRu2 at its relaxed geometry.

Cell and atoms, written as POSCAR:
```
SrBTeRu2
1.0
5.056 0.000 0.000
0.000 6.052 0.000
0.000 0.000 5.056
Te B Ru Sr
1 1 2 1
direct
0.000 0.500 0.000
0.500 0.500 0.500
0.000 0.000 0.500
0.500 0.000 0.000
0.000 0.000 0.000
```

Values from the calculation:
Formation energy (no corrections) = 2.786 eV/atom
Final energy = -3.224 eV/atom
Total magnetic moment = 4.20 μB/f.u.

***

# 3
VASP calculation (GGA-PBE) on crystalline SrZn2BRu2 at its relaxed geometry.

Cell and atoms, written as POSCAR:
```
SrZn2BRu2
1.0
4.230 0.000 0.000
0.000 4.230 0.000
0.000 0.000 5.714
Sr B Zn Ru
1 1 2 2
direct
0.000 0.000 0.500
0.000 0.000 0.000
0.500 0.500 0.738
0.500 0.500 0.262
0.000 0.500 0.000
0.500 0.000 0.000
```

Values from the calculation:
ΔE_f = -0.21 eV per atom
Final energy = -5.122 eV/atom
Total magnetic moment = 0.00 μB/f.u.

***

# 4
VASP calculation (GGA-PBE) on crystalline Sr2ZrBRu at its relaxed geometry.

Cell and atoms, written as POSCAR:
```
Sr2ZrBRu
1.0
-4.386 -0.154 -4.253
-1.251 -3.692 1.424
-3.836 2.787 3.855
Ru Sr Zr B
1 2 1 1
direct
0.500 0.500 0.500
0.500 0.000 0.000
0.000 0.000 0.500
0.000 0.000 0.000
0.000 0.500 0.000
```

Values from the calculation:
ΔE_f = 1.59 eV per atom
Final energy = -3.980 eV/atom
Total magnetic moment = 1.96 μB/f.u.

***

# 5
VASP calculation (GGA-PBE) on crystalline TaBRu2 at its relaxed geometry.

Cell and atoms, written as POSCAR:
```
TaBRu2
1.0
-1.715 2.409 1.293
-2.045 0.409 -3.476
-2.758 -2.667 1.309
B Ta Ru
1 1 2
direct
0.500 0.000 0.000
0.500 0.500 0.500
0.000 0.000 0.500
0.000 0.500 0.000
```

Values from the calculation:
ΔE_f = 0.04 eV per atom
Final energy = -9.232 eV/atom
Total magnetic moment = 0.00 μB/f.u.

***

# 6
VASP calculation (GGA-PBE) on crystalline TaB4Ru at its relaxed geometry.

Cell and atoms, written as POSCAR:
```
TaB4Ru
1.0
-0.692 2.345 2.282
-1.070 -4.198 3.988
10.853 0.183 3.103
Ta B Ru
4 16 4
direct
0.000 0.618 0.366
0.000 0.882 0.866
0.000 0.118 0.134
0.000 0.382 0.634
0.500 0.030 0.696
0.500 0.372 0.467
0.500 0.470 0.196
0.500 0.872 0.033
0.500 0.121 0.550
0.500 0.530 0.804
0.500 0.190 0.815
0.500 0.810 0.185
0.500 0.310 0.315
0.500 0.628 0.533
0.500 0.621 0.950
0.500 0.970 0.304
0.500 0.690 0.685
0.500 0.379 0.050
0.500 0.128 0.967
0.500 0.879 0.450
0.000 0.134 0.400
0.000 0.634 0.100
0.000 0.366 0.900
0.000 0.866 0.600
```

Values from the calculation:
ΔE_f = -0.26 eV per atom
Final energy = -8.236 eV/atom
Total magnetic moment = 0.00 μB/f.u.

***

# 7
VASP calculation (GGA-PBE) on crystalline TaB2Ru4 at its relaxed geometry.

Cell and atoms, written as POSCAR:
```
TaB2Ru4
1.0
-0.786 3.374 -1.378
-3.486 -0.282 1.299
3.537 2.759 4.735
Ru B Ta
4 2 1
direct
0.500 0.829 0.657
0.000 0.673 0.346
0.500 0.171 0.343
0.000 0.327 0.654
0.500 0.430 0.859
0.500 0.570 0.141
0.000 0.000 0.000
```

Values from the calculation:
ΔE_f = -0.14 eV per atom
Final energy = -9.038 eV/atom
Total magnetic moment = 0.00 μB/f.u.

***

# 8
VASP calculation (GGA-PBE) on crystalline TaB2Ru2 at its relaxed geometry.

Cell and atoms, written as POSCAR:
```
TaB2Ru2
1.0
6.370 0.000 0.000
0.000 6.370 0.000
0.000 0.000 2.814
Ta B Ru
2 4 4
direct
0.000 0.000 0.000
0.500 0.500 0.000
0.856 0.644 0.000
0.144 0.356 0.000
0.356 0.856 0.000
0.644 0.144 0.000
0.851 0.351 0.500
0.649 0.851 0.500
0.149 0.649 0.500
0.351 0.149 0.500
```

Values from the calculation:
ΔE_f = -0.21 eV per atom
Final energy = -8.965 eV/atom
Total magnetic moment = 0.00 μB/f.u.

***

Question: What is the final energy in the seventh record?
Answer: -9.038 eV/atom

***

Copy entry 2 word for word.
VASP calculation (GGA-PBE) on crystalline SrBTeRu2 at its relaxed geometry.

Cell and atoms, written as POSCAR:
```
SrBTeRu2
1.0
5.056 0.000 0.000
0.000 6.052 0.000
0.000 0.000 5.056
Te B Ru Sr
1 1 2 1
direct
0.000 0.500 0.000
0.500 0.500 0.500
0.000 0.000 0.500
0.500 0.000 0.000
0.000 0.000 0.000
```

Values from the calculation:
Formation energy (no corrections) = 2.786 eV/atom
Final energy = -3.224 eV/atom
Total magnetic moment = 4.20 μB/f.u.

***

Question: Which value of final energy does entry 8 give?
Answer: -8.965 eV/atom

***

Question: The highest final energy belongs to which entry?
Answer: SrBTeRu2